[1]
# LiHoIn4Se8 PBE optimized geometry
data_LiHoIn4Se8
_chemical_formula_sum 'Li1 Ho1 In4 Se8'
_cell_length_a 8.144
_cell_length_b 8.144
_cell_length_c 8.159
_cell_angle_alpha 60.06
_cell_angle_beta 60.06
_cell_angle_gamma 60.00
_symmetry_space_group_name_H-M 'P 1'
_symmetry_Int_Tables_number 1
loop_
_symmetry_equiv_pos_as_xyz
'x,y,z'
loop_
_atom_site_label
_atom_site_type_symbol
_atom_site_fract_x
_atom_site_fract_y
_atom_site_fract_z
In1 In 0.478 0.006 0.510
In2 In 0.006 0.006 0.510
In3 In 0.623 0.623 0.131
In4 In 0.006 0.478 0.510
Se1 Se 0.252 0.252 0.739
Se2 Se 0.243 0.243 0.271
Se3 Se 0.222 0.758 0.261
Se4 Se 0.758 0.252 0.739
Se5 Se 0.758 0.222 0.261
Se6 Se 0.252 0.758 0.739
Se7 Se 0.758 0.758 0.261
Se8 Se 0.760 0.760 0.721
Li1 Li 0.374 0.374 0.877
Ho1 Ho 0.010 0.010 0.971
# **Magnetization**: 0.00 μB/f.u.
# **N(E_F)**: 5.6 states/eV per cell
# **Electronic total energy**: -56.90 eV per cell
# **Volume**: 27.36 Å³ per atom
# **SG**: R3m, No. 160
# **Energy relative to the elements, uncorrected**: -0.8267 eV/atom


[2]
# LiPrPd3 PBE optimized geometry
data_LiPrPd3
_chemical_formula_sum 'Li2 Pr2 Pd6'
_cell_length_a 5.504
_cell_length_b 6.161
_cell_length_c 6.161
_cell_angle_alpha 120.00
_cell_angle_beta 90.00
_cell_angle_gamma 90.00
_symmetry_space_group_name_H-M 'P 1'
_symmetry_Int_Tables_number 1
loop_
_symmetry_equiv_pos_as_xyz
'x,y,z'
loop_
_atom_site_label
_atom_site_type_symbol
_atom_site_fract_x
_atom_site_fract_y
_atom_site_fract_z
Pd1 Pd 0.250 0.816 0.184
Pd2 Pd 0.250 0.816 0.632
Pd3 Pd 0.750 0.184 0.816
Pd4 Pd 0.750 0.632 0.816
Pd5 Pd 0.750 0.184 0.368
Pd6 Pd 0.250 0.368 0.184
Pr1 Pr 0.750 0.667 0.333
Pr2 Pr 0.250 0.333 0.667
Li1 Li 0.500 0.000 0.000
Li2 Li 0.000 0.000 0.000
# **Magnetization**: 0.00 μB/f.u.
# **N(E_F)**: 3.1 states/eV per cell
# **Electronic total energy**: -50.24 eV per cell
# **Energy above the most stable polymorph in this dataset**: 0 meV per atom
# **Volume**: 18.10 Å³ per atom
# **SG**: P6_3/mmc, No. 194
# **ΔE_f**: -569 meV per atom


[3]
# YEr2 PBE optimized geometry
data_YEr2
_chemical_formula_sum 'Y1 Er2'
_cell_length_a 3.524
_cell_length_b 3.524
_cell_length_c 7.911
_cell_angle_alpha 102.87
_cell_angle_beta 102.87
_cell_angle_gamma 90.00
_symmetry_space_group_name_H-M 'P 1'
_symmetry_Int_Tables_number 1
loop_
_symmetry_equiv_pos_as_xyz
'x,y,z'
loop_
_atom_site_label
_atom_site_type_symbol
_atom_site_fract_x
_atom_site_fract_y
_atom_site_fract_z
Er1 Er 0.332 0.332 0.664
Er2 Er 0.668 0.668 0.336
Y1 Y 0.000 0.000 0.000
# **Magnetization**: 0.00 μB/f.u.
# **N(E_F)**: 4.1 states/eV per cell
# **Electronic total energy**: -15.51 eV per cell
# **Energy above the most stable polymorph in this dataset**: 26 meV per atom
# **Volume**: 31.08 Å³ per atom
# **SG**: I4/mmm, No. 139
# **ΔE_f**: 26 meV per atom


[4]
# CsYCd2Cl8 PBE optimized geometry
data_CsYCd2Cl8
_chemical_formula_sum 'Cs1 Y1 Cd2 Cl8'
_cell_length_a 6.675
_cell_length_b 6.759
_cell_length_c 9.548
_cell_angle_alpha 73.91
_cell_angle_beta 76.11
_cell_angle_gamma 74.98
_symmetry_space_group_name_H-M 'P 1'
_symmetry_Int_Tables_number 1
loop_
_symmetry_equiv_pos_as_xyz
'x,y,z'
loop_
_atom_site_label
_atom_site_type_symbol
_atom_site_fract_x
_atom_site_fract_y
_atom_site_fract_z
Cd1 Cd 0.454 0.445 0.721
Cd2 Cd 0.546 0.555 0.279
Cl1 Cl 0.381 0.295 0.526
Cl2 Cl 0.744 0.202 0.200
Cl3 Cl 0.274 0.236 0.969
Cl4 Cl 0.167 0.715 0.222
Cl5 Cl 0.256 0.798 0.800
Cl6 Cl 0.833 0.285 0.778
Cl7 Cl 0.619 0.705 0.474
Cl8 Cl 0.726 0.764 0.031
Cs1 Cs 0.000 0.000 0.500
Y1 Y 0.000 0.000 0.000
# **Magnetization**: 0.00 μB/f.u.
# **N(E_F)**: 0.0 states/eV per cell
# **Electronic total energy**: -43.24 eV per cell
# **Volume**: 32.76 Å³ per atom
# **SG**: P-1, No. 2
# **Energy relative to the elements, uncorrected**: -1.6097 eV/atom